# 1
Density functional theory data (PBE-GGA) for a relaxed structure of V3Sb.

Results
Energy, eV per atom: -7.87
DOS(E_F), states/eV/atom: 0.815
ΔE to the lowest computed polymorph, meV/atom: 215
Total magnetic moment, μB per cell: 8.46
Energy relative to the elements, uncorrected, eV per formula unit: -0.01

Cell: 6.258 6.258 6.258 Å, 90.00 90.00 90.00°
Positions (direct):
V 0.000 0.000 0.000
V 0.000 0.500 0.500
V 0.250 0.250 0.250
V 0.250 0.250 0.750
V 0.250 0.750 0.250
V 0.250 0.750 0.750
V 0.500 0.000 0.500
V 0.500 0.500 0.000
V 0.750 0.250 0.250
V 0.750 0.250 0.750
V 0.750 0.750 0.250
V 0.750 0.750 0.750
Sb 0.000 0.000 0.500
Sb 0.000 0.500 0.000
Sb 0.500 0.000 0.000
Sb 0.500 0.500 0.500

# 2
Density functional theory data (PBE-GGA) for a relaxed structure of VSbW.

Results
Energy, eV per atom: -8.76
DOS(E_F), states/eV/atom: 0.834
Total magnetic moment, μB per cell: 0.22
Energy relative to the elements, uncorrected, eV per formula unit: -0.09

Cell: 3.223 3.223 22.688 Å, 90.00 90.00 90.00°
Positions (direct):
V 0.000 0.000 0.154
V 0.000 0.000 0.846
V 0.500 0.500 0.346
V 0.500 0.500 0.654
Sb 0.000 0.000 0.420
Sb 0.000 0.000 0.580
Sb 0.500 0.500 0.080
Sb 0.500 0.500 0.920
W 0.000 0.000 0.286
W 0.000 0.000 0.714
W 0.500 0.500 0.214
W 0.500 0.500 0.786